Compound: ReRh
Source: Alexandria
Functional: PBE
Structure: optimized geometry

Calculated values
For the energy above the most stable polymorph in this dataset, the calculation gives 0.000 eV/atom. The energy of formation from the pure elements is -0.18 eV per atom.

Structure (CIF):
```
data_ReRh
_chemical_formula_sum 'Re2 Rh2'
_cell_length_a 4.386
_cell_length_b 2.716
_cell_length_c 4.834
_cell_angle_alpha 90.00
_cell_angle_beta 90.00
_cell_angle_gamma 90.00
_space_group_name_H-M_alt 'P m m a'
_space_group_IT_number 51
loop_
_space_group_symop_operation_xyz
'x,y,z'
'-x,-y,-z'
'-x+1/2,-y,z'
'x+1/2,y,-z'
'x+1/2,-y,-z'
'-x+1/2,y,z'
'-x,y,-z'
'x,-y,z'
loop_
_atom_site_label
_atom_site_type_symbol
_atom_site_fract_x
_atom_site_fract_y
_atom_site_fract_z
Re1 Re 0.250 0.000 0.162
Rh1 Rh 0.250 0.500 0.663
```